Entry from Alexandria via LeMat-Bulk: a relaxed structure of ZrRhCl2 (PBE).

Cell and atoms, written as POSCAR:
```
ZrRhCl2
1.0
3.735 0.000 0.000
0.000 3.257 0.000
-1.572 0.000 7.813
Zr Rh Cl
1 1 2
direct
0.000 0.000 0.000
0.555 0.500 0.151
0.194 0.000 0.331
0.881 0.500 0.746
```

Values from the calculation:
* E_tot: -5.839 eV per atom
* energy relative to the lowest polymorph listed for this composition: 0.0 kJ/mol of atoms
* V: 23.77 A^3/atom
* space-group type: No. 6
* theoretical density: 4.6 g/cm³